## P
Entry from Alexandria: a relaxed Nd2DyRh crystal (GGA-PBE).

Lattice parameters (Å, degrees): 3.6143 3.6143 8.7150 90.00 90.00 90.00
Positions (direct):
Rh1 0.5000 0.5000 0.0000
Nd1 0.0000 0.0000 0.8076
Nd2 0.0000 0.0000 0.1924
Dy1 0.5000 0.5000 0.5000

Computed properties:
Fermi-level density of states = 5.89 states/eV/cell
magnetization = 0.00 μB per atom
SG = No. 123

## Q
Entry from Alexandria: a relaxed Nd2DyRh crystal (GGA-PBE).

Lattice parameters (Å, degrees): 6.4480 6.7275 11.5290 89.99 90.00 90.00
Positions (direct):
Nd1 0.7566 0.9097 0.9131
Nd2 0.2434 0.0903 0.0869
Nd3 0.2566 0.5903 0.5869
Nd4 0.7434 0.4097 0.4131
Nd5 0.7565 0.4096 0.0869
Nd6 0.2435 0.5904 0.9131
Nd7 0.2565 0.0904 0.4131
Nd8 0.7435 0.9096 0.5869
Dy1 0.2500 0.5716 0.2500
Dy2 0.7500 0.4284 0.7500
Dy3 0.7500 0.9284 0.2500
Dy4 0.2500 0.0716 0.7500
Rh1 0.0000 0.2500 0.5900
Rh2 0.0000 0.7500 0.4100
Rh3 0.5000 0.2500 0.9100
Rh4 0.5000 0.7500 0.0900

Computed properties:
Fermi-level density of states = 14.98 states/eV/cell
magnetization = 0.00 μB per atom
SG = No. 52

Q comes first in stability; the runner-up is 100 meV per atom higher.

## P
Entry from Alexandria: a relaxed ZnCu2H crystal (GGA-PBE).

Lattice parameters (Å, degrees): 2.6807 2.6807 6.6998 78.46 78.46 60.00
Positions (direct):
H1 0.0000 0.0000 0.0000
Zn1 0.5000 0.5000 0.5000
Cu1 0.7251 0.7251 0.8248
Cu2 0.2749 0.2749 0.1752

Computed properties:
Fermi-level density of states = 1.12 states/eV/cell
magnetization = 0.00 μB per atom
SG = No. 166

## Q
Entry from Alexandria: a relaxed ZnCu2H crystal (GGA-PBE).

Lattice parameters (Å, degrees): 4.0133 4.0133 4.0133 60.00 60.00 60.00
Positions (direct):
H1 0.0000 0.0000 0.0000
Zn1 0.5000 0.5000 0.5000
Cu1 0.2500 0.2500 0.2500
Cu2 0.7500 0.7500 0.7500

Computed properties:
Fermi-level density of states = 1.48 states/eV/cell
magnetization = 0.00 μB per atom
SG = No. 225

P comes first in stability; the runner-up is 477 meV per atom higher.

## P
Entry from Alexandria: a relaxed ScTa2Fe crystal (GGA-PBE).

Lattice parameters (Å, degrees): 4.4169 2.9615 5.3718 76.50 90.00 90.00
Positions (direct):
Fe1 0.5000 0.2500 0.2500
Sc1 0.5000 0.7500 0.7500
Ta1 0.0000 0.0478 0.0176
Ta2 0.0000 0.4522 0.4824

Computed properties:
Fermi-level density of states = 4.14 states/eV/cell
magnetization = 0.11 μB per atom
SG = No. 10

## Q
Entry from Alexandria: a relaxed ScTa2Fe crystal (GGA-PBE).

Lattice parameters (Å, degrees): 3.0710 3.0710 7.2949 90.00 90.00 90.00
Positions (direct):
Fe1 0.0000 0.0000 0.4745
Sc1 0.5000 0.5000 0.7191
Ta1 0.0000 0.0000 0.0168
Ta2 0.5000 0.5000 0.2896

Computed properties:
Fermi-level density of states = 3.97 states/eV/cell
magnetization = 0.08 μB per atom
SG = No. 99

Q comes first in stability; the runner-up is 159 meV per atom higher.